La3AlO | Alexandria | PBE | relaxed; space group = I-4m2, No. 119; electronic total energy = -5.61 eV/atom; density = 5.06 g/cm3
1.0
6.947 0.000 0.000
0.000 6.947 0.000
3.473 3.473 6.247
Al O La
2 2 6
direct
0.637 0.137 0.726
0.863 0.363 0.274
0.000 0.000 0.000
0.250 0.750 0.500
0.147 0.885 0.230
0.115 0.853 0.770
0.115 0.376 0.770
0.624 0.885 0.230
0.370 0.370 0.259
0.630 0.630 0.741